Al2TlCd PBE optimized geometry; N(E_F) = 1.3 states/eV per cell; space-group type = Cmm2, No. 35; DFT formation energy = 165 meV/atom; final energy = -2.53 eV per atom
1.0
-0.433 -2.425 -1.941
1.696 -1.617 2.083
-7.605 -2.219 4.469
Cd Al Tl
1 2 1
direct
0.000 0.000 0.465
0.500 0.500 0.232
0.000 0.000 0.038
0.500 0.500 0.764


AlTlCd2 PBE optimized geometry; energy relative to the lowest polymorph listed for this composition = 0.23 eV/f.u.; N(E_F) = 1.1 states/eV per cell; space-group type = P2/m, No. 10; DFT formation energy = 170 meV/atom; final energy = -1.82 eV per atom
1.0
-1.909 -4.469 -1.223
2.613 -1.494 1.381
-2.002 -0.667 5.561
Al Cd Tl
1 2 1
direct
0.500 0.750 0.750
0.000 0.608 0.518
0.000 0.892 0.982
0.500 0.250 0.250


Al2TlCd PBE optimized geometry; N(E_F) = 1.5 states/eV per cell; space-group type = Pm, No. 6; DFT formation energy = 174 meV/atom; final energy = -2.52 eV per atom
1.0
3.861 0.000 0.000
0.000 3.044 -0.087
0.000 1.964 7.673
Al Tl Cd
2 1 1
direct
0.500 0.279 0.223
0.000 0.885 0.052
0.500 0.713 0.770
0.000 0.623 0.455


AlTlCd2 PBE optimized geometry; energy relative to the lowest polymorph listed for this composition = 0.00 eV/f.u.; N(E_F) = 1.2 states/eV per cell; space-group type = R-3m, No. 166; DFT formation energy = 113 meV/atom; final energy = -1.87 eV per atom
1.0
10.142 -0.096 -0.056
9.636 3.166 -0.056
9.636 1.496 2.791
Cd Al Tl
2 1 1
direct
0.008 0.008 0.008
0.492 0.492 0.492
0.750 0.750 0.750
0.250 0.250 0.250


Al2Tl2Cd PBE optimized geometry; energy relative to the lowest polymorph listed for this composition = 0.52 eV/f.u.; N(E_F) = 5.5 states/eV per cell; space-group type = P4/mbm, No. 127; DFT formation energy = 304 meV/atom; final energy = -2.32 eV per atom
1.0
8.623 0.000 0.000
0.000 8.623 0.000
0.000 0.000 3.390
Tl Cd Al
4 2 4
direct
0.317 0.817 0.000
0.817 0.683 0.000
0.683 0.183 0.000
0.183 0.317 0.000
0.000 0.000 0.000
0.500 0.500 0.000
0.386 0.114 0.500
0.114 0.614 0.500
0.886 0.386 0.500
0.614 0.886 0.500


AlTl3Cd PBE optimized geometry; energy relative to the lowest polymorph listed for this composition = 0.00 eV/f.u.; N(E_F) = 1.6 states/eV per cell; space-group type = Pm-3m, No. 221; DFT formation energy = 287 meV/atom; final energy = -2.06 eV per atom
1.0
-0.343 -3.280 -4.350
5.443 -0.392 -0.133
-0.233 -4.346 3.295
Al Tl Cd
1 3 1
direct
0.000 0.000 0.000
0.000 0.000 0.500
0.500 0.000 0.000
0.000 0.500 0.000
0.500 0.500 0.500


AlTlCd2 PBE optimized geometry; energy relative to the lowest polymorph listed for this composition = 0.14 eV/f.u.; N(E_F) = 1.6 states/eV per cell; space-group type = P4mm, No. 99; DFT formation energy = 147 meV/atom; final energy = -1.84 eV per atom
1.0
3.185 0.000 0.000
0.000 3.185 0.000
0.000 0.000 9.366
Tl Al Cd
1 1 2
direct
0.000 0.000 0.509
0.500 0.500 0.774
0.000 0.000 0.989
0.500 0.500 0.228


AlTlCd2 PBE optimized geometry; energy relative to the lowest polymorph listed for this composition = 0.41 eV/f.u.; N(E_F) = 1.3 states/eV per cell; space-group type = Fm-3m, No. 225; DFT formation energy = 214 meV/atom; final energy = -1.77 eV per atom
1.0
-2.901 -1.148 4.127
-5.049 -0.969 -0.576
-1.801 -4.808 0.640
Cd Tl Al
2 1 1
direct
0.250 0.250 0.250
0.750 0.750 0.750
0.500 0.500 0.500
0.000 0.000 0.000


AlTlCd2 PBE optimized geometry; energy relative to the lowest polymorph listed for this composition = 0.08 eV/f.u.; N(E_F) = 0.6 states/eV per cell; space-group type = R3m, No. 160; DFT formation energy = 133 meV/atom; final energy = -1.85 eV per atom
1.0
-9.443 -1.070 3.147
-7.933 -3.236 5.180
-8.035 0.000 5.971
Cd Al Tl
2 1 1
direct
0.254 0.254 0.254
0.004 0.004 0.004
0.745 0.745 0.745
0.496 0.496 0.496


AlTlCd2 PBE optimized geometry; energy relative to the lowest polymorph listed for this composition = 0.14 eV/f.u.; N(E_F) = 2.4 states/eV per cell; space-group type = Pmmm, No. 47; DFT formation energy = 149 meV/atom; final energy = -1.84 eV per atom
1.0
3.127 0.000 0.000
0.000 4.207 0.000
0.000 0.000 7.293
Tl Cd Al
1 2 1
direct
0.500 0.500 0.250
0.000 0.000 0.539
0.000 0.000 0.961
0.500 0.500 0.750


AlTlCd2 PBE optimized geometry; energy relative to the lowest polymorph listed for this composition = 0.21 eV/f.u.; N(E_F) = 1.5 states/eV per cell; space-group type = Pm, No. 6; DFT formation energy = 166 meV/atom; final energy = -1.82 eV per atom
1.0
4.759 0.000 0.000
0.000 3.529 -0.214
0.000 1.484 5.683
Tl Al Cd
1 1 2
direct
0.000 0.491 0.545
0.500 0.949 0.732
0.000 0.827 0.024
0.500 0.233 0.198


AlTlCd3 PBE optimized geometry; energy relative to the lowest polymorph listed for this composition = 0.00 eV/f.u.; N(E_F) = 2.8 states/eV per cell; space-group type = Pm-3m, No. 221; DFT formation energy = 259 meV/atom; final energy = -1.51 eV per atom
1.0
-4.847 0.597 2.041
-1.849 -3.693 -3.310
1.051 -3.744 3.590
Cd Al Tl
3 1 1
direct
0.000 0.000 0.500
0.500 0.000 0.000
0.000 0.500 0.000
0.000 0.000 0.000
0.500 0.500 0.500